# 1
ZnAg2Sn2: optimized geometry, PBE-GGA.

For the energy of formation, the calculation gives 191 meV/atom. The total energy is -28.06 eV for the cell shown. Its energy above the most stable polymorph in this dataset is 0.076 eV/atom. As for the calculated volume: 114.6 Å³/f.u.

It has space group I4/mmm (No. 139), with a = 3.858 Å, b = 3.858 Å, c = 15.397 Å, α = 90.00°, β = 90.00° and γ = 90.00°. The distinct sites, in fractional coordinates, are Zn at (0.000, 0.000, 0.000), Ag at (0.000, 0.500, 0.250) and Sn at (0.000, 0.000, 0.401).


# 2
NdCd9Au2: optimized geometry, PBE-GGA.

For the energy of formation, the calculation gives -209 meV/atom. The total energy is -88.27 eV for the cell shown. As for the calculated volume: 267.1 Å³/f.u.

It has space group I4_1/amd (No. 141, origin choice 2), with a = 11.879 Å, b = 11.879 Å, c = 7.570 Å, α = 90.00°, β = 90.00° and γ = 90.00°. The distinct sites, in fractional coordinates, are Nd at (0.000, 0.250, 0.375), Cd at (0.000, 0.250, 0.875), Cd at (0.120, 0.050, 0.674) and Au at (0.000, 0.000, 0.000).


# 3
Tl3Cd2Hg5: optimized geometry, PBE-GGA.

For the energy of formation, the calculation gives 71 meV/atom. The total energy is -38.91 eV for the cell shown. As for the calculated volume: 299.5 Å³/f.u.

It has space group Ibam (No. 72), with a = 9.318 Å, b = 13.545 Å, c = 9.491 Å, α = 90.00°, β = 90.00° and γ = 90.00°. The distinct sites, in fractional coordinates, are Tl at (0.000, 0.000, 0.250), Tl at (0.225, 0.380, 0.000), Cd at (0.065, 0.143, 0.000), Hg at (0.000, 0.264, 0.250), Hg at (0.000, 0.500, 0.250) and Hg at (0.133, 0.380, 0.500).


Question: The highest calculated volume belongs to which entry?
Answer: Tl3Cd2Hg5